Record 1
Computed, not measured: an optimized crystal structure of Pa2BAsRh6 at the PBE-GGA level of DFT.

```
Pa2BAsRh6
1.0
5.6693 0.0000 0.0000
0.0000 8.3045 0.0000
0.0000 0.0000 7.2595
Pa B As Rh
4 2 2 12
direct
0.2500 0.0166 0.2483
0.2500 0.4834 0.2483
0.7500 0.5166 0.7517
0.7500 0.9834 0.7517
0.2500 0.2500 0.8101
0.7500 0.7500 0.1899
0.2500 0.7500 0.6691
0.7500 0.2500 0.3309
0.9996 0.2500 0.0167
0.0004 0.7500 0.9833
0.0047 0.7500 0.3943
0.2500 0.0021 0.8360
0.2500 0.4979 0.8360
0.4953 0.7500 0.3943
0.5004 0.2500 0.0167
0.4996 0.7500 0.9833
0.5047 0.2500 0.6057
0.7500 0.5021 0.1640
0.7500 0.9979 0.1640
0.9953 0.2500 0.6057
```

Properties
- SG: Pmmn
- Formation energy: -0.714 eV/atom
- E: -81.6 eV per formula unit

Record 2
Computed, not measured: an optimized crystal structure of EuZnGaPb at the PBE-GGA level of DFT.

```
EuZnGaPb
1.0
0.0000 3.6766 3.6766
3.6766 0.0000 3.6766
3.6766 3.6766 0.0000
Eu Zn Ga Pb
1 1 1 1
direct
0.0000 0.0000 0.0000
0.2500 0.2500 0.2500
0.7500 0.7500 0.7500
0.5000 0.5000 0.5000
```

Properties
- SG: F-43m
- Formation energy: -0.211 eV/atom
- E: -19.1 eV per formula unit

For each record above, in turn, the calculated calculated density values are 11.323, 8.258 g/cm³.
For each record above, in turn, the calculated V values are 342, 99 Å³ per cell.